Record 1
Here is an optimized crystal structure of NaAlTl3 from Alexandria. Energies are from PBE. Values from VASP.

Summary:
Spin magnetization (μB per atom): 0.00
DFT total energy (Ry/atom): -0.1663
E above lowest polymorph (meV/atom): 0
Calculated formation energy (eV per atom): 0.169

Cell and atoms, written as Quantum ESPRESSO input:
```
&SYSTEM
  ibrav = 0, nat = 5, ntyp = 3
/
ATOMIC_SPECIES
Na 22.99 Na.upf
Al 26.98 Al.upf
Tl 204.38 Tl.upf
ATOMIC_POSITIONS crystal
Na 0.0000 0.0000 0.0000
Al 0.5000 0.5000 0.5000
Tl 0.0000 0.5000 0.5000
Tl 0.5000 0.0000 0.5000
Tl 0.5000 0.5000 0.0000
CELL_PARAMETERS angstrom
5.4842 0.0000 0.0000
0.0000 5.4842 0.0000
0.0000 0.0000 5.4842
```

Record 2
Here is an optimized crystal structure of MnPbBr2 from Alexandria. Energies are from PBE. Values from VASP.

Summary:
Spin magnetization (μB per atom): 1.19
DFT total energy (Ry/atom): -0.2916
Formation energy without anion corrections (eV per atom): 0.088
E above lowest polymorph (meV/atom): 484

Cell and atoms, written as Quantum ESPRESSO input:
```
&SYSTEM
  ibrav = 0, nat = 4, ntyp = 3
/
ATOMIC_SPECIES
Mn 54.94 Mn.upf
Pb 207.20 Pb.upf
Br 79.90 Br.upf
ATOMIC_POSITIONS crystal
Mn 0.0000 0.0000 0.0000
Pb 0.5000 0.5000 0.5000
Br 0.2500 0.2500 0.2500
Br 0.7500 0.7500 0.7500
CELL_PARAMETERS angstrom
0.0000 3.7655 3.7655
3.7655 0.0000 3.7655
3.7655 3.7655 0.0000
```